# YTlRe (PBE-GGA, relaxed)
data_YTlRe
_space_group_name_H-M_alt 'F -4 3 m'
_space_group_IT_number 216
_space_group_name_Hall 'F -4 2 3'
_cell_length_a 6.8565
_cell_length_b 6.8565
_cell_length_c 6.8565
_cell_angle_alpha 90.00
_cell_angle_beta 90.00
_cell_angle_gamma 90.00
loop_
_atom_site_label
_atom_site_type_symbol
_atom_site_fract_x
_atom_site_fract_y
_atom_site_fract_z
Y1 Y 0.0000 0.0000 0.0000
Tl1 Tl 0.2500 0.2500 0.2500
Re1 Re 0.2500 0.2500 0.7500
# - M_tot: 4.250 μB per cell
# - Relative energy among the computed polymorphs: 852.7 meV/atom
# - DOS(E_F): 23.11 states/eV per cell
# - Calculated density: 9.88 g/cm3

---

# Rb2Al2Br (PBE-GGA, relaxed)
data_Rb2Al2Br
_space_group_name_H-M_alt 'I 4/m m m'
_space_group_IT_number 139
_space_group_name_Hall '-I 4 2'
_cell_length_a 3.9797
_cell_length_b 3.9797
_cell_length_c 21.5737
_cell_angle_alpha 90.00
_cell_angle_beta 90.00
_cell_angle_gamma 90.00
loop_
_atom_site_label
_atom_site_type_symbol
_atom_site_fract_x
_atom_site_fract_y
_atom_site_fract_z
Rb1 Rb 0.0000 0.0000 0.0975
Al1 Al 0.0000 0.5000 0.2500
Br1 Br 0.0000 0.0000 0.5000
# - M_tot: 0.000 μB per cell
# - DOS(E_F): 2.56 states/eV per cell
# - Calculated density: 2.96 g/cm3
# - Formation energy without anion corrections: -0.46 eV per atom

---

Repeat the first record exactly.
# YTlRe (PBE-GGA, relaxed)
data_YTlRe
_space_group_name_H-M_alt 'F -4 3 m'
_space_group_IT_number 216
_space_group_name_Hall 'F -4 2 3'
_cell_length_a 6.8565
_cell_length_b 6.8565
_cell_length_c 6.8565
_cell_angle_alpha 90.00
_cell_angle_beta 90.00
_cell_angle_gamma 90.00
loop_
_atom_site_label
_atom_site_type_symbol
_atom_site_fract_x
_atom_site_fract_y
_atom_site_fract_z
Y1 Y 0.0000 0.0000 0.0000
Tl1 Tl 0.2500 0.2500 0.2500
Re1 Re 0.2500 0.2500 0.7500
# - M_tot: 4.250 μB per cell
# - Relative energy among the computed polymorphs: 852.7 meV/atom
# - DOS(E_F): 23.11 states/eV per cell
# - Calculated density: 9.88 g/cm3

---

- The highest M_tot belongs to which entry?
  YTlRe

---

- The highest M_tot belongs to which entry?
  YTlRe